(1)
An optimized crystal structure of Mo2C. Source: Alexandria, functional PBE.

Properties
**Electronic total energy**: -10.203 eV per atom
**Total magnetization**: 0.0 μB/f.u.
**V**: 38.2 Å³ per cell
**Theoretical density**: 8852 kg/m3
**ΔH_f (0 K)**: 0.09 eV/atom

Lattice parameters (Å, degrees): 2.9957 2.9957 4.2621 90.00 90.00 90.00
Last column: nearest neighbours and their distance in Å.
Space group P4/mmm (No. 123)
Unique sites:
1 Mo 0.0000 0.0000 0.0000 [1 per cell]  2 C 2.13
2 Mo 0.5000 0.5000 0.5000 [1 per cell]  4 C 2.12
3 C 0.0000 0.0000 0.5000 [1 per cell]  6 Mo 2.12-2.13

(2)
An optimized crystal structure of Tl2SnHg5. Source: Alexandria, functional PBE.

Properties
**Electronic total energy**: -1.250 eV per atom
**Excess energy over the best structure of this formula in the dataset**: 0.0 kJ/mol of formula units
**Total magnetization**: 0.0 μB/f.u.
**V**: 226.6 Å³ per cell
**Theoretical density**: 11215 kg/m3
**ΔH_f (0 K)**: 0.03 eV/atom

Lattice parameters (Å, degrees): 6.4655 6.7358 6.7840 94.21 118.30 113.13
Last column: nearest neighbours and their distance in Å.
Space group P1 (No. 1)
Unique sites:
1 Tl 0.0000 0.0000 0.0000 [1 per cell]  2 Tl 3.22-3.26, 7 Hg 3.35-3.49
2 Tl 0.4854 0.9623 0.9948 [1 per cell]  2 Tl 3.22-3.26, 7 Hg 3.35-3.49
3 Sn 0.7443 0.4794 0.5003 [1 per cell]  6 Hg 3.01-3.23
4 Hg 0.0024 0.4990 0.0103 [1 per cell]  3 Hg 2.97-3.29, 1 Sn 3.01
5 Hg 0.2448 0.4799 0.5005 [1 per cell]  4 Hg 2.97-3.13, 2 Sn 3.23
6 Hg 0.4866 0.4646 0.9917 [1 per cell]  3 Hg 2.97-3.29, 1 Sn 3.01
7 Hg 0.4878 0.9804 0.4934 [1 per cell]  1 Sn 3.09, 4 Hg 3.13-3.43, 4 Tl 3.37-3.42
8 Hg 0.9949 0.9784 0.5009 [1 per cell]  1 Sn 3.10, 3 Hg 3.12-3.26, 4 Tl 3.36-3.43

(3)
An optimized crystal structure of Si2PbSe2. Source: Alexandria, functional PBE.

Properties
**Electronic total energy**: -4.019 eV per atom
**Formation energy without anion corrections**: 0.29 eV per atom
**Total magnetization**: 0.0 μB/f.u.
**V**: 242.1 Å³ per cell
**Theoretical density**: 5779 kg/m3

Lattice parameters (Å, degrees): 5.0390 5.0390 9.5343 90.00 90.00 90.00
Last column: nearest neighbours and their distance in Å.
Space group I4/mmm (No. 139)
Unique sites:
1 Si 0.0000 0.5000 0.2500 [4 per cell]  4 Se 2.61
2 Pb 0.0000 0.0000 0.0000 [2 per cell]  2 Se 3.08
3 Se 0.0000 0.0000 0.3232 [4 per cell]  4 Si 2.61

(4)
An optimized crystal structure of Tl2CuSi. Source: Alexandria, functional PBE.

Properties
**Electronic total energy**: -3.310 eV per atom
**Excess energy over the best structure of this formula in the dataset**: 37.9 kJ/mol of formula units
**Formation energy without anion corrections**: 0.25 eV per atom
**Total magnetization**: 0.0 μB/f.u.
**V**: 191.6 Å³ per cell
**Theoretical density**: 8673 kg/m3

Lattice parameters (Å, degrees): 4.3937 5.1753 8.4271 90.00 90.00 90.00
Last column: nearest neighbours and their distance in Å.
Space group Amm2 (No. 38)
Unique sites:
1 Tl 0.0000 0.0000 0.0000 [2 per cell]  3 Cu 2.82-3.10
2 Tl 0.5000 0.0000 0.3614 [2 per cell]  3 Si 2.86-2.99, 2 Cu 3.16
3 Cu 0.0000 0.0000 0.6317 [2 per cell]  2 Si 2.31
4 Si 0.5000 0.0000 0.7157 [2 per cell]  2 Cu 2.31

(5)
An optimized crystal structure of CeLuAl4. Source: Alexandria, functional PBE.

Properties
**Electronic total energy**: -4.677 eV per atom
**Total magnetization**: 0.5 μB/f.u.
**V**: 487.6 Å³ per cell
**Theoretical density**: 5763 kg/m3
**ΔH_f (0 K)**: -0.44 eV/atom

Lattice parameters (Å, degrees): 7.8707 7.8707 7.8707 90.00 90.00 90.00
Last column: nearest neighbours and their distance in Å.
Space group F-43m (No. 216)
Unique sites:
1 Ce 0.0000 0.0000 0.0000 [4 per cell]  12 Al 3.26, 4 Lu 3.41
2 Lu 0.2500 0.2500 0.2500 [4 per cell]  12 Al 3.26, 4 Ce 3.41
3 Al 0.1254 0.1254 0.6254 [16 per cell]  6 Al 2.77-2.79

(6)
An optimized crystal structure of AcEr2Sb. Source: Alexandria, functional PBE.

Properties
**Electronic total energy**: -4.775 eV per atom
**Excess energy over the best structure of this formula in the dataset**: 0.0 kJ/mol of formula units
**Formation energy without anion corrections**: -0.44 eV per atom
**Total magnetization**: 0.0 μB/f.u.
**V**: 123.9 Å³ per cell
**Theoretical density**: 9155 kg/m3

Lattice parameters (Å, degrees): 3.9566 3.9566 7.9165 90.00 90.00 90.00
Last column: nearest neighbours and their distance in Å.
Space group P4/mmm (No. 123)
Unique sites:
1 Ac 0.0000 0.0000 0.0000 [1 per cell]  8 Er 3.66, 4 Ac 3.96, 2 Sb 3.96
2 Er 0.5000 0.5000 0.2981 [2 per cell]  1 Er 3.20, 4 Sb 3.22
3 Sb 0.0000 0.0000 0.5000 [1 per cell]  8 Er 3.22

(7)
An optimized crystal structure of Li3Hg8Pd2. Source: Alexandria, functional PBE.

Properties
**Electronic total energy**: -1.608 eV per atom
**Total magnetization**: 0.0 μB/f.u.
**V**: 563.7 Å³ per cell
**Theoretical density**: 10831 kg/m3
**ΔH_f (0 K)**: -0.18 eV/atom

Lattice parameters (Å, degrees): 9.3851 12.5050 4.8031 90.00 90.00 90.00
Last column: nearest neighbours and their distance in Å.
Space group Cmmm (No. 65)
Unique sites:
1 Li 0.0000 0.0000 0.0000 [2 per cell]  8 Hg 2.88-2.91, 2 Pd 3.02
2 Li 0.2460 0.0000 0.5000 [4 per cell]  8 Hg 2.81-2.86
3 Hg 0.0000 0.1276 0.5000 [4 per cell]  2 Pd 2.79, 4 Li 2.81-2.88, 1 Hg 3.10
4 Hg 0.0000 0.3752 0.5000 [4 per cell]  2 Li 2.85, 2 Pd 2.93, 2 Hg 3.10-3.12
5 Hg 0.2371 0.3764 0.0000 [8 per cell]  2 Pd 2.80-2.87, 3 Li 2.86-2.91, 1 Hg 3.09
6 Pd 0.0000 0.2411 0.0000 [4 per cell]  8 Hg 2.79-2.93, 1 Li 3.02

(8)
An optimized crystal structure of Ho6Er12Tm. Source: Alexandria, functional PBE.

Properties
**Electronic total energy**: -4.345 eV per atom
**Excess energy over the best structure of this formula in the dataset**: 102.1 kJ/mol of formula units
**Total magnetization**: 0.0 μB/f.u.
**V**: 1813.2 Å³ per cell
**Theoretical density**: 8697 kg/m3
**ΔH_f (0 K)**: 0.22 eV/atom

Lattice parameters (Å, degrees): 12.9645 12.9645 12.4569 90.00 90.00 120.00
Last column: nearest neighbours and their distance in Å.
Space group R-3m (No. 166, hexagonal axes)
Unique sites:
1 Ho 0.0394 0.5197 0.1195 [18 per cell]  1 Ho 3.11, 1 Tm 3.35, 2 Er 3.40
2 Er 0.0000 0.2576 0.0000 [18 per cell]  6 Er 3.29-3.49, 4 Ho 3.40-3.51
3 Er 0.0906 0.1811 0.7642 [18 per cell]  6 Er 3.29-3.52, 2 Ho 3.64
4 Tm 0.0000 0.0000 0.5000 [3 per cell]  6 Ho 3.35

(9)
An optimized crystal structure of IrOs3W. Source: Alexandria, functional PBE.

Properties
**Electronic total energy**: -8.488 eV per atom
**Excess energy over the best structure of this formula in the dataset**: 532.5 kJ/mol of formula units
**Total magnetization**: 1.4 μB/f.u.
**V**: 100.3 Å³ per cell
**Theoretical density**: 15670 kg/m3
**ΔH_f (0 K)**: 2.61 eV/atom

Lattice parameters (Å, degrees): 4.6466 4.6466 4.6466 90.00 90.00 90.00
Last column: nearest neighbours and their distance in Å.
Space group Pm-3m (No. 221)
Unique sites:
1 Ir 0.0000 0.0000 0.0000 [1 per cell]  12 Os 3.29
2 Os 0.0000 0.5000 0.5000 [3 per cell]  2 W 2.32
3 W 0.5000 0.5000 0.5000 [1 per cell]  6 Os 2.32

(10)
An optimized crystal structure of BeB3N. Source: Alexandria, functional PBE.

Properties
**Electronic total energy**: -4.594 eV per atom
**Excess energy over the best structure of this formula in the dataset**: 0.0 kJ/mol of formula units
**Formation energy without anion corrections**: 1.82 eV per atom
**Total magnetization**: 0.0 μB/f.u.
**V**: 38.3 Å³ per cell
**Theoretical density**: 2405 kg/m3

Lattice parameters (Å, degrees): 3.3704 3.3704 3.3704 90.00 90.00 90.00
Last column: nearest neighbours and their distance in Å.
Space group Pm-3m (No. 221)
Unique sites:
1 Be 0.0000 0.0000 0.0000 [1 per cell]  12 B 2.38
2 B 0.0000 0.5000 0.5000 [3 per cell]  2 N 1.69
3 N 0.5000 0.5000 0.5000 [1 per cell]  6 B 1.69

(11)
An optimized crystal structure of SnIrS2. Source: Alexandria, functional PBE.

Properties
**Electronic total energy**: -4.966 eV per atom
**Formation energy without anion corrections**: 0.31 eV per atom
**Total magnetization**: 0.3 μB/f.u.
**V**: 263.1 Å³ per cell
**Theoretical density**: 7102 kg/m3

Lattice parameters (Å, degrees): 3.6599 3.6599 22.6777 90.00 90.00 120.00
Last column: nearest neighbours and their distance in Å.
Space group R-3m (No. 166, hexagonal axes)
Unique sites:
1 Sn 0.0000 0.0000 0.0000 [3 per cell]  6 S 2.62
2 Ir 0.0000 0.0000 0.5000 [3 per cell]  2 S 2.22
3 S 0.0000 0.0000 0.4019 [6 per cell]  1 Ir 2.22

(12)
An optimized crystal structure of Pm3DyPt2. Source: Alexandria, functional PBE.

Properties
**Electronic total energy**: -6.012 eV per atom
**Excess energy over the best structure of this formula in the dataset**: 0.0 kJ/mol of formula units
**Total magnetization**: 0.0 μB/f.u.
**V**: 320.9 Å³ per cell
**Theoretical density**: 10220 kg/m3
**ΔH_f (0 K)**: -0.86 eV/atom

Lattice parameters (Å, degrees): 4.8592 9.0482 7.2994 90.00 90.00 90.00
Last column: nearest neighbours and their distance in Å.
Space group Pmc2_1 (No. 26)
Unique sites:
1 Pm 0.0000 0.0855 0.0000 [2 per cell]  3 Pt 2.88-3.10
2 Pm 0.0000 0.3380 0.3617 [2 per cell]  4 Pt 2.96-3.02
3 Pm 0.5000 0.1663 0.6505 [2 per cell]  4 Pt 2.96-3.06
4 Dy 0.5000 0.4144 0.0121 [2 per cell]  3 Pt 2.84-3.08
5 Pt 0.0000 0.3434 0.7694 [2 per cell]  5 Pm 2.88-3.04, 2 Dy 3.08
6 Pt 0.5000 0.1633 0.2448 [2 per cell]  1 Dy 2.84, 6 Pm 2.96-3.10

(13)
An optimized crystal structure of DyTh2Nb. Source: Alexandria, functional PBE.

Properties
**Electronic total energy**: -6.836 eV per atom
**Excess energy over the best structure of this formula in the dataset**: 145.1 kJ/mol of formula units
**Total magnetization**: 0.0 μB/f.u.
**V**: 345.6 Å³ per cell
**Theoretical density**: 10371 kg/m3
**ΔH_f (0 K)**: 0.54 eV/atom

Lattice parameters (Å, degrees): 3.3502 3.3502 35.5564 90.00 90.00 120.00
Last column: nearest neighbours and their distance in Å.
Space group R-3m (No. 166, hexagonal axes)
Unique sites:
1 Dy 0.0000 0.0000 0.0000 [3 per cell]  6 Dy 3.35, 6 Th 3.61
2 Th 0.0000 0.0000 0.4191 [6 per cell]  1 Nb 2.88
3 Nb 0.0000 0.0000 0.5000 [3 per cell]  2 Th 2.88